Arrangement A

Below is a relaxed structure of ScBeCuSb, with properties calculated at the PBE level.

```
ScBeCuSb
1.0
0.000 3.226 3.226
3.226 0.000 3.226
3.226 3.226 0.000
Be Cu Sb Sc
1 1 1 1
direct
0.500 0.500 0.500
0.000 0.000 0.000
0.250 0.250 0.250
0.750 0.750 0.750
```

Calculated values
SG: No. 216


Arrangement B

Below is a relaxed structure of ScBeCuSb, with properties calculated at the PBE level.

```
ScBeCuSb
1.0
0.000 3.253 3.253
3.253 0.000 3.253
3.253 3.253 0.000
Be Cu Sb Sc
1 1 1 1
direct
0.750 0.750 0.750
0.000 0.000 0.000
0.250 0.250 0.250
0.500 0.500 0.500
```

Calculated values
SG: No. 216


Most stable: arrangement A (next structure +60 meV/atom)


Arrangement A

Below is a relaxed structure of BeZnCuSb, with properties calculated at the PBE level.

```
BeZnCuSb
1.0
0.340 -2.631 3.628
-2.198 -3.917 0.149
2.280 -3.866 -0.233
Be Cu Sb Zn
1 1 1 1
direct
0.250 0.250 0.250
0.750 0.750 0.750
0.000 0.000 0.000
0.500 0.500 0.500
```

Calculated values
SG: No. 216


Arrangement B

Below is a relaxed structure of BeZnCuSb, with properties calculated at the PBE level.

```
BeZnCuSb
1.0
0.000 3.187 3.187
3.187 0.000 3.187
3.187 3.187 0.000
Be Cu Sb Zn
1 1 1 1
direct
0.750 0.750 0.750
0.500 0.500 0.500
0.000 0.000 0.000
0.250 0.250 0.250
```

Calculated values
SG: No. 216


Most stable: arrangement A (next structure +53 meV/atom)